# ZnP, optimized geometry, DFT PBE
data_ZnP
_chemical_formula_sum 'Zn8 P8'
_symmetry_space_group_name_H-M 'I -4 3 m'
_symmetry_Int_Tables_number 217
_symmetry_space_group_name_Hall 'I -4 2 3'
_cell_length_a 7.462
_cell_length_b 7.462
_cell_length_c 7.462
_cell_angle_alpha 90.00
_cell_angle_beta 90.00
_cell_angle_gamma 90.00
loop_
_atom_site_label
_atom_site_fract_x
_atom_site_fract_y
_atom_site_fract_z
Zn1 0.159 0.159 0.841
P1 0.164 0.164 0.164
# - Total magnetic moment: 0.0 μB/cell
# - Energy: -3.069 eV per atom